w:
Density functional theory data (PBE-GGA) for an optimized crystal structure of PmHoAg4.

Cell lengths 5.337, 5.342, 5.391 Å; angles 60.30, 90.01, 90.01 degrees
Atoms (fractional coordinates):
Pm1 0.001 0.502 0.495
Ho1 0.501 0.002 0.495
Ag1 0.501 0.676 0.148
Ag2 0.501 0.328 0.843
Ag3 0.001 0.170 0.159
Ag4 0.001 0.833 0.832

Values from the calculation:
As for the space group: No. 65. The value obtained for the volume is 133 Å³/cell. The value obtained for the magnetization is 0.00 μB/atom. Its mass density is 9.22 Mg/m³.

---

x:
Density functional theory data (PBE-GGA) for an optimized crystal structure of PmHoAg4.

Cell lengths 5.733, 5.733, 5.733 Å; angles 60.00, 60.00, 60.00 degrees
Atoms (fractional coordinates):
Ho1 0.250 0.250 0.250
Ag1 0.625 0.625 0.126
Ag2 0.625 0.126 0.625
Ag3 0.625 0.625 0.625
Ag4 0.126 0.625 0.625
Pm1 0.000 0.000 0.000

Values from the calculation:
As for the space group: No. 216. The value obtained for the volume is 133 Å³/cell. The value obtained for the magnetization is 0.00 μB/atom. Its mass density is 9.24 Mg/m³.

---

Here are the energies relative to the best structure, in meV/atom: w 0; x 122.

---

w:
Density functional theory data (PBE-GGA) for an optimized crystal structure of PmHoAg.

Cell lengths 5.196, 9.295, 6.893 Å; angles 90.00, 90.00, 90.00 degrees
Atoms (fractional coordinates):
Pm1 0.750 0.918 0.161
Pm2 0.750 0.582 0.661
Pm3 0.250 0.082 0.839
Pm4 0.250 0.418 0.339
Ho1 0.250 0.809 0.489
Ho2 0.750 0.309 0.011
Ho3 0.250 0.691 0.989
Ho4 0.750 0.191 0.511
Ag1 0.750 0.595 0.222
Ag2 0.750 0.905 0.722
Ag3 0.250 0.095 0.278
Ag4 0.250 0.405 0.778

Values from the calculation:
As for the space group: No. 62. The value obtained for the volume is 333 Å³/cell. The value obtained for the magnetization is 0.00 μB/atom. Its mass density is 8.33 Mg/m³.

---

x:
Density functional theory data (PBE-GGA) for an optimized crystal structure of PmHoAg.

Cell lengths 3.726, 5.078, 5.078 Å; angles 120.00, 90.00, 90.00 degrees
Atoms (fractional coordinates):
Ho1 0.586 0.667 0.333
Ag1 0.372 0.333 0.667
Pm1 0.042 0.000 0.000

Values from the calculation:
As for the space group: No. 156. The value obtained for the volume is 83 Å³/cell. The value obtained for the magnetization is 0.00 μB/atom. Its mass density is 8.34 Mg/m³.

---

Here are the energies relative to the best structure, in meV/atom: w 0; x 148.

---

w:
Density functional theory data (PBE-GGA) for an optimized crystal structure of Pm4HoAg.

Cell lengths 3.643, 3.643, 14.102 Å; angles 90.00, 90.00, 90.00 degrees
Atoms (fractional coordinates):
Pm1 0.500 0.500 0.824
Pm2 0.500 0.500 0.176
Pm3 0.000 0.000 0.639
Pm4 0.000 0.000 0.361
Ho1 0.000 0.000 0.000
Ag1 0.500 0.500 0.500

Values from the calculation:
As for the space group: No. 123. The value obtained for the volume is 187 Å³/cell. The value obtained for the magnetization is 0.00 μB/atom. Its mass density is 7.57 Mg/m³.

---

x:
Density functional theory data (PBE-GGA) for an optimized crystal structure of Pm4HoAg.

Cell lengths 5.521, 6.516, 10.901 Å; angles 90.00, 104.67, 90.00 degrees
Atoms (fractional coordinates):
Pm1 0.936 0.210 0.872
Pm2 0.064 0.710 0.128
Pm3 0.466 0.879 0.932
Pm4 0.534 0.379 0.068
Pm5 0.677 0.565 0.353
Pm6 0.323 0.065 0.647
Pm7 0.747 0.096 0.495
Pm8 0.253 0.596 0.505
Ho1 0.867 0.709 0.734
Ho2 0.133 0.209 0.266
Ag1 0.607 0.974 0.213
Ag2 0.393 0.474 0.787

Values from the calculation:
As for the space group: No. 36. The value obtained for the volume is 379 Å³/cell. The value obtained for the magnetization is 0.00 μB/atom. Its mass density is 7.47 Mg/m³.

---

Here are the energies relative to the best structure, in meV/atom: w 0; x 108.

---

w:
Density functional theory data (PBE-GGA) for an optimized crystal structure of PmHo2Ag2.

Cell lengths 3.645, 5.312, 13.593 Å; angles 90.00, 97.68, 90.00 degrees
Atoms (fractional coordinates):
Pm1 0.854 0.750 0.709
Pm2 0.146 0.250 0.291
Ho1 0.048 0.750 0.095
Ho2 0.952 0.250 0.905
Ho3 0.235 0.750 0.470
Ho4 0.765 0.250 0.530
Ag1 0.643 0.750 0.285
Ag2 0.357 0.250 0.715
Ag3 0.456 0.750 0.911
Ag4 0.544 0.250 0.089

Values from the calculation:
As for the space group: No. 11. The value obtained for the volume is 261 Å³/cell. The value obtained for the magnetization is 0.00 μB/atom. Its mass density is 8.79 Mg/m³.

---

x:
Density functional theory data (PBE-GGA) for an optimized crystal structure of PmHo2Ag2.

Cell lengths 4.901, 5.241, 10.989 Å; angles 94.70, 90.00, 90.00 degrees
Atoms (fractional coordinates):
Pm1 0.250 0.698 0.244
Pm2 0.750 0.302 0.756
Ho1 0.250 0.842 0.888
Ho2 0.750 0.158 0.112
Ho3 0.250 0.250 0.506
Ho4 0.750 0.750 0.494
Ag1 0.250 0.772 0.633
Ag2 0.750 0.228 0.367
Ag3 0.250 0.355 0.994
Ag4 0.750 0.645 0.006

Values from the calculation:
As for the space group: No. 11. The value obtained for the volume is 281 Å³/cell. The value obtained for the magnetization is 0.00 μB/atom. Its mass density is 8.15 Mg/m³.

---

Here are the energies relative to the best structure, in meV/atom: w 0; x 112.

---

w:
Density functional theory data (PBE-GGA) for an optimized crystal structure of PmHoScAg.

Cell lengths 3.553, 3.553, 8.405 Å; angles 90.00, 90.00, 90.00 degrees
Atoms (fractional coordinates):
Pm1 0.000 0.000 0.086
Ho1 0.500 0.500 0.779
Sc1 0.500 0.500 0.367
Ag1 0.000 0.000 0.553

Values from the calculation:
As for the space group: No. 99. The value obtained for the volume is 106 Å³/cell. The value obtained for the magnetization is 0.00 μB/atom. Its mass density is 7.24 Mg/m³.

---

x:
Density functional theory data (PBE-GGA) for an optimized crystal structure of PmHoScAg.

Cell lengths 5.242, 5.242, 5.242 Å; angles 60.00, 60.00, 60.00 degrees
Last column: magnetic moment on the atom in μB.
Atoms (fractional coordinates):
Sc1 0.750 0.750 0.750  0.56
Ho1 0.250 0.250 0.250  0.42
Ag1 0.500 0.500 0.500  0.03
Pm1 0.000 0.000 0.000  0.58

Values from the calculation:
As for the space group: No. 216. The value obtained for the volume is 102 Å³/cell. The value obtained for the magnetization is 0.56 μB/atom. Its mass density is 7.54 Mg/m³.

---

Here are the energies relative to the best structure, in meV/atom: w 0; x 214.

---

w:
Density functional theory data (PBE-GGA) for an optimized crystal structure of PmSmHoAg.

Cell lengths 3.636, 3.636, 8.841 Å; angles 90.00, 90.00, 90.00 degrees
Atoms (fractional coordinates):
Pm1 0.000 0.000 0.077
Sm1 0.500 0.500 0.784
Ho1 0.500 0.500 0.363
Ag1 0.000 0.000 0.560

Values from the calculation:
As for the space group: No. 99. The value obtained for the volume is 117 Å³/cell. The value obtained for the magnetization is 0.00 μB/atom. Its mass density is 8.07 Mg/m³.

---

x:
Density functional theory data (PBE-GGA) for an optimized crystal structure of PmSmHoAg.

Cell lengths 5.445, 5.445, 5.445 Å; angles 60.00, 60.00, 60.00 degrees
Atoms (fractional coordinates):
Ag1 0.250 0.250 0.250
Ho1 0.500 0.500 0.500
Sm1 0.000 0.000 0.000
Pm1 0.750 0.750 0.750

Values from the calculation:
As for the space group: No. 216. The value obtained for the volume is 114 Å³/cell. The value obtained for the magnetization is 0.00 μB/atom. Its mass density is 8.26 Mg/m³.

---

Here are the energies relative to the best structure, in meV/atom: w 0; x 229.

---

w:
Density functional theory data (PBE-GGA) for an optimized crystal structure of PmHoTlAg.

Cell lengths 3.679, 3.679, 7.829 Å; angles 90.00, 90.00, 90.00 degrees
Last column: magnetic moment on the atom in μB.
Atoms (fractional coordinates):
Pm1 0.000 0.000 0.846  0.08
Ho1 0.000 0.000 0.376  0.01
Tl1 0.500 0.500 0.118  0.00
Ag1 0.500 0.500 0.588  0.00

Values from the calculation:
As for the space group: No. 99. The value obtained for the volume is 106 Å³/cell. The value obtained for the magnetization is 0.04 μB/atom. Its mass density is 9.75 Mg/m³.

---

x:
Density functional theory data (PBE-GGA) for an optimized crystal structure of PmHoTlAg.

Cell lengths 5.321, 5.321, 5.321 Å; angles 60.00, 60.00, 60.00 degrees
Last column: magnetic moment on the atom in μB.
Atoms (fractional coordinates):
Tl1 0.750 0.750 0.750  0.00
Ho1 0.000 0.000 0.000  0.09
Ag1 0.250 0.250 0.250  0.01
Pm1 0.500 0.500 0.500  0.07

Values from the calculation:
As for the space group: No. 216. The value obtained for the volume is 107 Å³/cell. The value obtained for the magnetization is 0.07 μB/atom. Its mass density is 9.70 Mg/m³.

---

Here are the energies relative to the best structure, in meV/atom: w 0; x 7.